No. 1
VASP calculation (PBE) on an optimized crystal structure of TmMgGaSe4.

Calculated values
energy relative to the elements, uncorrected: -1.177 eV per atom

a b c (Å): 7.9484 7.9463 7.9463
angles (deg): 59.72 59.99 59.99
With the nearest neighbours (Å) after each atom.
Fractional positions:
Mg1 0.0000 0.0000 0.5000  6 Se 2.73-2.78
Mg2 0.5000 0.0000 0.5000  6 Se 2.73-2.78
Tm1 0.0000 0.5000 0.5000  6 Se 2.81
Tm2 0.0000 0.0000 0.0000  6 Se 2.81
Se1 0.7505 0.2368 0.2622  1 Ga 2.47, 2 Mg 2.73
Se2 0.7455 0.7533 0.2533  1 Ga 2.50, 1 Mg 2.78
Se3 0.2545 0.2467 0.7467  1 Ga 2.50, 1 Mg 2.78
Se4 0.2495 0.7632 0.7378  1 Ga 2.47, 2 Mg 2.73
Se5 0.7505 0.7622 0.7368  1 Ga 2.47, 2 Mg 2.73
Se6 0.7521 0.2467 0.7467  1 Ga 2.50, 1 Mg 2.78
Se7 0.2479 0.7533 0.2533  1 Ga 2.50, 1 Mg 2.78
Se8 0.2495 0.2378 0.2632  1 Ga 2.47, 2 Mg 2.73
Ga1 0.3675 0.3825 0.8825  4 Se 2.47-2.50
Ga2 0.6325 0.6175 0.1175  4 Se 2.47-2.50



No. 2
VASP calculation (PBE) on an optimized crystal structure of CdRu2Pt2.

Calculated values
ΔH_f (0 K): 0.25 eV per atom
polymorph energy (0 for the lowest one): 34 meV/atom

a b c (Å): 7.7267 7.7267 2.7771
angles (deg): 90.00 90.00 90.00
With the nearest neighbours (Å) after each atom.
Fractional positions:
Pt1 0.1230 0.3770 0.0000  6 Ru 2.61-2.72, 3 Pt 2.69-2.78
Pt2 0.3770 0.8770 0.0000  6 Ru 2.61-2.72, 3 Pt 2.69-2.78
Pt3 0.6230 0.1230 0.0000  6 Ru 2.61-2.72, 3 Pt 2.69-2.78
Pt4 0.8770 0.6230 0.0000  6 Ru 2.61-2.72, 3 Pt 2.69-2.78
Ru1 0.1746 0.6746 0.5000  6 Pt 2.61-2.72, 2 Ru 2.78
Ru2 0.3254 0.1746 0.5000  6 Pt 2.61-2.72, 2 Ru 2.78
Ru3 0.6746 0.8254 0.5000  6 Pt 2.61-2.72, 2 Ru 2.78
Ru4 0.8254 0.3254 0.5000  6 Pt 2.61-2.72, 2 Ru 2.78
Cd1 0.5000 0.5000 0.0000  2 Cd 2.78, 4 Pt 3.06
Cd2 0.0000 0.0000 0.0000  2 Cd 2.78, 4 Pt 3.06



No. 3
VASP calculation (PBE) on an optimized crystal structure of Zn2PPd5.

Calculated values
ΔH_f (0 K): -0.50 eV per atom

a b c (Å): 4.0130 5.6329 10.3627
angles (deg): 90.00 90.00 90.00
With the nearest neighbours (Å) after each atom.
Fractional positions:
P1 0.0000 0.5000 0.0000  6 Pd 2.36-2.44
P2 0.0000 0.0000 0.5000  6 Pd 2.36-2.44
Zn1 0.5000 0.1222 0.8466  9 Pd 2.58-2.80
Zn2 0.5000 0.6222 0.6534  9 Pd 2.58-2.80
Zn3 0.5000 0.8778 0.1534  9 Pd 2.58-2.80
Zn4 0.5000 0.3778 0.3466  9 Pd 2.58-2.80
Pd1 0.0000 0.0000 0.0000  4 Zn 2.65, 2 P 2.82, 6 Pd 2.88-2.96
Pd2 0.5000 0.6768 0.9067  2 P 2.44, 2 Zn 2.58-2.64
Pd3 0.5000 0.3232 0.0933  2 P 2.44, 2 Zn 2.58-2.64
Pd4 0.0000 0.6079 0.2205  1 P 2.36, 2 Zn 2.61
Pd5 0.0000 0.5000 0.5000  4 Zn 2.65, 2 P 2.82, 6 Pd 2.88-2.96
Pd6 0.0000 0.8921 0.7205  1 P 2.36, 2 Zn 2.61
Pd7 0.0000 0.1079 0.2795  1 P 2.36, 2 Zn 2.61
Pd8 0.5000 0.8232 0.4067  2 P 2.44, 2 Zn 2.58-2.64
Pd9 0.5000 0.1768 0.5933  2 P 2.44, 2 Zn 2.58-2.64
Pd10 0.0000 0.3921 0.7795  1 P 2.36, 2 Zn 2.61



No. 4
VASP calculation (PBE) on an optimized crystal structure of GaRhN2.

Calculated values
energy relative to the elements, uncorrected: 0.293 eV per atom

a b c (Å): 4.7355 4.7355 5.4742
angles (deg): 64.37 64.37 90.00
With the nearest neighbours (Å) after each atom.
Fractional positions:
Ga1 0.2500 0.7500 0.5000  4 N 1.95
Ga2 0.5000 0.5000 0.0000  4 N 1.95
Rh1 0.7500 0.2500 0.5000  4 N 2.04
Rh2 0.0000 0.0000 0.0000  4 N 2.04
N1 0.6093 0.1250 0.2500  2 Ga 1.95, 2 Rh 2.04
N2 0.8750 0.8593 0.7500  2 Ga 1.95, 2 Rh 2.04
N3 0.3750 0.3907 0.7500  2 Ga 1.95, 2 Rh 2.04
N4 0.1407 0.6250 0.2500  2 Ga 1.95, 2 Rh 2.04



No. 5
VASP calculation (PBE) on an optimized crystal structure of Hf2VTeAu.

Calculated values
energy relative to the elements, uncorrected: 1.152 eV per atom

a b c (Å): 5.1052 5.4906 5.1052
angles (deg): 90.00 90.00 90.00
With the nearest neighbours (Å) after each atom.
Fractional positions:
Hf1 0.5000 0.0000 0.0000  2 Au 2.55
Hf2 0.0000 0.0000 0.5000  2 Au 2.55
Te1 0.0000 0.5000 0.0000  2 Au 2.75
Au1 0.0000 0.0000 0.0000  4 Hf 2.55, 2 Te 2.75
V1 0.5000 0.5000 0.5000  4 Te 3.61, 8 Hf 3.75



No. 6
VASP calculation (PBE) on an optimized crystal structure of Np2BeRh6.

Calculated values
ΔH_f (0 K): -0.41 eV per atom

a b c (Å): 5.8472 5.8472 5.8475
angles (deg): 60.00 60.00 60.00
With the nearest neighbours (Å) after each atom.
Fractional positions:
Rh1 0.2377 0.2377 0.7617  1 Be 2.17
Rh2 0.7620 0.2376 0.7624  1 Be 2.17
Rh3 0.7623 0.7623 0.2383  1 Be 2.17
Rh4 0.2380 0.7624 0.2376  1 Be 2.17
Rh5 0.7624 0.2380 0.2376  1 Be 2.17
Rh6 0.2376 0.7620 0.7624  1 Be 2.17
Be1 0.5000 0.5000 0.5000  6 Rh 2.17
Np1 0.2500 0.2500 0.2498  12 Rh 2.92-2.93
Np2 0.7500 0.7500 0.7502  12 Rh 2.92-2.93